AcW2O7: relaxed, PBE+U.

**VASP energy**: -77.1 eV for the cell shown
**V**: 128 Å³/cell
**Density**: 9.18 g/cm3
**Total moment**: 1.00 Bohr magnetons per cell

abc: 6.023 6.023 3.893
angles: 90.00 90.00 115.17
Sites, in units of the cell vectors:
Ac (0.000, 0.000, 0.000)
W (0.308, 0.692, 0.500)
W (0.692, 0.308, 0.500)
O (0.042, 0.324, 0.500)
O (0.300, 0.700, 0.000)
O (0.324, 0.042, 0.500)
O (0.500, 0.500, 0.500)
O (0.676, 0.958, 0.500)
O (0.700, 0.300, 0.000)
O (0.958, 0.676, 0.500)



Ac2WO6: relaxed, PBE+U.

**V**: 307 Å³/cell
**Density**: 7.95 g/cm3
**Total moment**: 0.00 Bohr magnetons per cell
**Offset from the most stable computed form**: 0.0882 eV per atom

abc: 5.329 5.329 10.797
angles: 90.00 90.00 90.00
Sites, in units of the cell vectors:
Ac (0.000, 0.000, 0.167)
Ac (0.000, 0.000, 0.833)
Ac (0.500, 0.500, 0.333)
Ac (0.500, 0.500, 0.667)
W (0.000, 0.000, 0.500)
W (0.500, 0.500, 0.000)
O (0.176, 0.176, 0.364)
O (0.176, 0.176, 0.636)
O (0.241, 0.241, 0.000)
O (0.259, 0.741, 0.500)
O (0.324, 0.676, 0.136)
O (0.324, 0.676, 0.864)
O (0.676, 0.324, 0.136)
O (0.676, 0.324, 0.864)
O (0.741, 0.259, 0.500)
O (0.759, 0.759, 0.000)
O (0.824, 0.824, 0.364)
O (0.824, 0.824, 0.636)



What did the second record say?
Ac2WO6: relaxed, PBE+U.

**V**: 307 Å³/cell
**Density**: 7.95 g/cm3
**Total moment**: 0.00 Bohr magnetons per cell
**Offset from the most stable computed form**: 0.0882 eV per atom

abc: 5.329 5.329 10.797
angles: 90.00 90.00 90.00
Sites, in units of the cell vectors:
Ac (0.000, 0.000, 0.167)
Ac (0.000, 0.000, 0.833)
Ac (0.500, 0.500, 0.333)
Ac (0.500, 0.500, 0.667)
W (0.000, 0.000, 0.500)
W (0.500, 0.500, 0.000)
O (0.176, 0.176, 0.364)
O (0.176, 0.176, 0.636)
O (0.241, 0.241, 0.000)
O (0.259, 0.741, 0.500)
O (0.324, 0.676, 0.136)
O (0.324, 0.676, 0.864)
O (0.676, 0.324, 0.136)
O (0.676, 0.324, 0.864)
O (0.741, 0.259, 0.500)
O (0.759, 0.759, 0.000)
O (0.824, 0.824, 0.364)
O (0.824, 0.824, 0.636)